Below is a relaxed Cd2CoSb crystal, with properties calculated at the GGA-PBE level.

Results
Density ... 8.03 g/cm³
ΔE_f (raw) ... 3.0 kcal/mol of atoms

a = 3.969 Å, b = 3.047 Å, c = 7.205 Å
α = 90.00°, β = 105.77°, γ = 90.00°
Space group Pm (No. 6)
Inequivalent atoms, fractional coordinates:
Cd1 0.000 0.000 0.000 [1 per cell]
Cd2 0.368 0.500 0.738 [1 per cell]
Co1 0.207 0.000 0.412 [1 per cell]
Sb1 0.667 0.500 0.331 [1 per cell]

---

Below is a relaxed NpAg8Te6 crystal, with properties calculated at the GGA-PBE level.

Results
Density ... 7.73 g/cm³
ΔE_f (raw) ... -4.1 kcal/mol of atoms

a = 7.8691 Å, b = 7.8691 Å, c = 22.4106 Å
α = 90.00°, β = 90.00°, γ = 120.00°
Space group R-3 (No. 148, hexagonal axes)
Inequivalent atoms, fractional coordinates:
Np1 0.0000 0.0000 0.0000 [3 per cell]
Ag1 0.0000 0.0000 0.4335 [6 per cell]
Ag2 0.0268 0.7678 0.1387 [18 per cell]
Te1 0.0072 0.3139 0.7359 [18 per cell]

---

Below is a relaxed Ti6ReIr crystal, with properties calculated at the GGA-PBE level.

Results
Density ... 7.54 g/cm³
E_form ... -5.9 kJ per mole of atoms

a = 9.704 Å, b = 4.417 Å, c = 6.939 Å
α = 90.00°, β = 99.46°, γ = 90.00°
Space group C2/m (No. 12)
Inequivalent atoms, fractional coordinates:
Ti1 0.082 0.000 0.195 [4 per cell]
Ti2 0.110 0.500 0.672 [4 per cell]
Ti3 0.226 0.000 0.887 [4 per cell]
Re1 0.000 0.500 0.000 [2 per cell]
Ir1 0.000 0.000 0.500 [2 per cell]

---

Below is a relaxed Sr3Al4Si2 crystal, with properties calculated at the GGA-PBE level.

Results
Density ... 3.03 g/cm³
ΔE_f (raw) ... -7.9 kcal/mol of atoms

a = 12.155 Å, b = 4.352 Å, c = 8.902 Å
α = 90.00°, β = 95.85°, γ = 90.00°
Space group C2/m (No. 12)
Inequivalent atoms, fractional coordinates:
Sr1 0.000 0.000 0.000 [2 per cell]
Sr2 0.168 0.500 0.665 [4 per cell]
Al1 0.053 0.000 0.384 [4 per cell]
Al2 0.226 0.500 0.062 [4 per cell]
Si1 0.113 0.500 0.279 [4 per cell]